A relaxed structure of MgSi2Ir2, computed with PBE-GGA.

a b c (Å): 7.221 7.221 2.821
angles (deg): 90.00 90.00 90.00
Fractional positions:
Mg 0.000 0.000 0.000
Mg 0.500 0.500 0.000
Si 0.152 0.348 0.500
Si 0.348 0.848 0.500
Si 0.652 0.152 0.500
Si 0.848 0.652 0.500
Ir 0.144 0.644 0.000
Ir 0.356 0.144 0.000
Ir 0.644 0.856 0.000
Ir 0.856 0.356 0.000

Size of the total moment ... 0.00 μB per formula unit
VASP energy ... -6.498 eV per atom
E_form (uncorrected) ... -2.33 eV/f.u.


A relaxed structure of Mg2SiIr, computed with PBE-GGA.

a b c (Å): 3.940 3.940 3.990
angles (deg): 90.00 90.00 90.00
Fractional positions:
Mg 0.000 0.500 0.000
Mg 0.500 0.000 0.000
Si 0.000 0.000 0.500
Ir 0.500 0.500 0.500

Size of the total moment ... 0.00 μB per formula unit
VASP energy ... -4.614 eV per atom
E_form (uncorrected) ... -0.98 eV/f.u.